(1)
Material: LiTc3S
Method: DFT, PBE
State: optimized geometry

Its raw total energy is -6.92 eV/atom. The calculation puts the raw formation energy at 0.51 eV per atom. Its density of states at the Fermi level is 0.6903 states/eV/atom. For the energy above the lowest structure with this stoichiometry, the calculation gives 0.0 meV/atom.

It has space group Pm-3m (No. 221), with a = 4.360 Å, b = 4.360 Å, c = 4.360 Å, α = 90.00°, β = 90.00° and γ = 90.00°. The asymmetric unit holds Li at (0.000, 0.000, 0.000), Tc at (0.000, 0.500, 0.500) and S at (0.500, 0.500, 0.500).

(2)
Material: LiTc3S
Method: DFT, PBE
State: optimized geometry

Its raw total energy is -5.88 eV/atom. The calculation puts the raw formation energy at 1.55 eV per atom. Its density of states at the Fermi level is 1.1834 states/eV/atom. For the energy above the lowest structure with this stoichiometry, the calculation gives 1041.3 meV/atom.

It has space group Pm-3m (No. 221), with a = 4.161 Å, b = 4.161 Å, c = 4.161 Å, α = 90.00°, β = 90.00° and γ = 90.00°. The asymmetric unit holds Li at (0.000, 0.000, 0.000), Tc at (0.000, 0.000, 0.500) and S at (0.500, 0.500, 0.500).

(3)
Material: Li3TcS
Method: DFT, PBE
State: optimized geometry

Its raw total energy is -3.04 eV/atom. The calculation puts the raw formation energy at 1.01 eV per atom. Its density of states at the Fermi level is 1.5953 states/eV/atom. For the energy above the lowest structure with this stoichiometry, the calculation gives 796.9 meV/atom.

It has space group Pm-3m (No. 221), with a = 4.908 Å, b = 4.908 Å, c = 4.908 Å, α = 90.00°, β = 90.00° and γ = 90.00°. The asymmetric unit holds Li at (0.000, 0.000, 0.500), Tc at (0.000, 0.000, 0.000) and S at (0.500, 0.500, 0.500).

(4)
Material: LiTc2S
Method: DFT, PBE
State: optimized geometry

Its raw total energy is -6.56 eV/atom. The calculation puts the raw formation energy at 0.14 eV per atom. Its density of states at the Fermi level is 1.3591 states/eV/atom.

It has space group I-42d (No. 122), with a = 7.378 Å, b = 7.378 Å, c = 4.481 Å, α = 90.00°, β = 90.00° and γ = 90.00°. The asymmetric unit holds Li at (0.000, 0.000, 0.000), Tc at (0.165, 0.750, 0.625) and S at (0.000, 0.000, 0.500).

(5)
Material: LiTi2TcS
Method: DFT, PBE
State: optimized geometry

Its raw total energy is -5.59 eV/atom. The calculation puts the raw formation energy at 0.85 eV per atom. Its density of states at the Fermi level is 0.9513 states/eV/atom. For the energy above the lowest structure with this stoichiometry, the calculation gives 460.4 meV/atom.

It has space group P4/mmm (No. 123), with a = 4.369 Å, b = 4.369 Å, c = 4.055 Å, α = 90.00°, β = 90.00° and γ = 90.00°. The asymmetric unit holds Li at (0.000, 0.000, 0.000), Ti at (0.000, 0.500, 0.000), Tc at (0.000, 0.000, 0.500) and S at (0.500, 0.500, 0.500).

(6)
Material: LiTi2TcS
Method: DFT, PBE
State: optimized geometry

Its raw total energy is -6.05 eV/atom. The calculation puts the raw formation energy at 0.39 eV per atom. Its density of states at the Fermi level is 1.0071 states/eV/atom. For the energy above the lowest structure with this stoichiometry, the calculation gives 0.0 meV/atom.

It has space group P4/mmm (No. 123), with a = 4.692 Å, b = 4.692 Å, c = 4.704 Å, α = 90.00°, β = 90.00° and γ = 90.00°. The asymmetric unit holds Li at (0.000, 0.000, 0.000), Ti at (0.000, 0.500, 0.500), Tc at (0.500, 0.500, 0.500) and S at (0.500, 0.500, 0.000).

(7)
Material: LiTlTcS2
Method: DFT, PBE
State: optimized geometry

Its raw total energy is -3.90 eV/atom. The calculation puts the raw formation energy at 0.68 eV per atom. Its density of states at the Fermi level is 0.7248 states/eV/atom.

It has space group P4/mmm (No. 123), with a = 4.574 Å, b = 4.574 Å, c = 4.758 Å, α = 90.00°, β = 90.00° and γ = 90.00°. The asymmetric unit holds Li at (0.000, 0.000, 0.000), Tl at (0.500, 0.500, 0.500), Tc at (0.000, 0.000, 0.500) and S at (0.000, 0.500, 0.000).

(8)
Material: LiTe3S
Method: DFT, PBE
State: optimized geometry

Its raw total energy is -2.93 eV/atom. The calculation puts the raw formation energy at 0.16 eV per atom. Its density of states at the Fermi level is 0.6163 states/eV/atom. For the energy above the lowest structure with this stoichiometry, the calculation gives 0.0 meV/atom.

It has space group Pm-3m (No. 221), with a = 5.306 Å, b = 5.306 Å, c = 5.306 Å, α = 90.00°, β = 90.00° and γ = 90.00°. The asymmetric unit holds Li at (0.000, 0.000, 0.000), Te at (0.000, 0.500, 0.500) and S at (0.500, 0.500, 0.500).

(9)
Material: Li2TeS3
Method: DFT, PBE
State: optimized geometry

Its raw total energy is -3.88 eV/atom. The calculation puts the raw formation energy at -0.66 eV per atom. For the energy above the lowest structure with this stoichiometry, the calculation gives 24.3 meV/atom.

It has space group Pmmn (No. 59, origin choice 2), with a = 3.796 Å, b = 11.493 Å, c = 5.340 Å, α = 90.00°, β = 90.00° and γ = 90.00°. The asymmetric unit holds Li at (0.250, 0.094, 0.243), Te at (0.250, 0.750, 0.239), S at (0.250, 0.087, 0.743) and S at (0.250, 0.750, 0.780).

(10)
Material: LiTe2S4
Method: DFT, PBE
State: optimized geometry

Its raw total energy is -3.67 eV/atom. The calculation puts the raw formation energy at -0.14 eV per atom. Its density of states at the Fermi level is 0.2591 states/eV/atom. For the energy above the lowest structure with this stoichiometry, the calculation gives 24.4 meV/atom.

It has space group Cccm (No. 66), with a = 7.781 Å, b = 16.311 Å, c = 8.266 Å, α = 90.00°, β = 90.00° and γ = 90.00°. The asymmetric unit holds Li at (0.000, 0.000, 0.250), Te at (0.010, 0.229, 0.000), S at (0.037, 0.088, 0.500) and S at (0.250, 0.250, 0.206).

(11)
Material: LiTe3S7
Method: DFT, PBE
State: optimized geometry

Its raw total energy is -3.55 eV/atom. The calculation puts the raw formation energy at 0.11 eV per atom. Its density of states at the Fermi level is 0.4395 states/eV/atom.

It has space group C2/m (No. 12), with a = 7.378 Å, b = 10.030 Å, c = 6.914 Å, α = 90.00°, β = 106.16° and γ = 90.00°. The asymmetric unit holds Li at (0.000, 0.000, 0.000), Te at (0.000, 0.288, 0.500), Te at (0.000, 0.500, 0.000), S at (0.000, 0.000, 0.500), S at (0.164, 0.285, 0.205) and S at (0.242, 0.500, 0.651).

(12)
Material: Li6TeS2
Method: DFT, PBE
State: optimized geometry

Its raw total energy is -3.74 eV/atom. The calculation puts the raw formation energy at -1.20 eV per atom. Its density of states at the Fermi level is 0.0000 states/eV/atom.

It has space group I4/mmm (No. 139), with a = 4.214 Å, b = 4.214 Å, c = 18.206 Å, α = 90.00°, β = 90.00° and γ = 90.00°. The asymmetric unit holds Li at (0.000, 0.500, 0.095), Li at (0.000, 0.500, 0.250), Te at (0.000, 0.000, 0.000) and S at (0.000, 0.000, 0.327).

(13)
Material: Li4TeS4
Method: DFT, PBE
State: optimized geometry

Its raw total energy is -3.72 eV/atom. The calculation puts the raw formation energy at -0.69 eV per atom.

It has space group I-42m (No. 121), with a = 6.108 Å, b = 6.108 Å, c = 11.372 Å, α = 90.00°, β = 90.00° and γ = 90.00°. The asymmetric unit holds Li at (0.000, 0.000, 0.227), Li at (0.000, 0.500, 0.000), Te at (0.000, 0.000, 0.500) and S at (0.238, 0.238, 0.627).

(14)
Material: LiTe2S4
Method: DFT, PBE
State: optimized geometry

Its raw total energy is -3.69 eV/atom. The calculation puts the raw formation energy at -0.16 eV per atom. Its density of states at the Fermi level is 0.1243 states/eV/atom. For the energy above the lowest structure with this stoichiometry, the calculation gives 0.0 meV/atom.

It has space group Pbam (No. 55), with a = 7.073 Å, b = 13.650 Å, c = 4.248 Å, α = 90.00°, β = 90.00° and γ = 90.00°. The asymmetric unit holds Li at (0.000, 0.000, 0.000), Te at (0.168, 0.375, 0.500), S at (0.161, 0.825, 0.000) and S at (0.240, 0.038, 0.500).

(15)
Material: Li3TeS4
Method: DFT, PBE
State: optimized geometry

Its raw total energy is -3.81 eV/atom. The calculation puts the raw formation energy at -0.63 eV per atom. Its density of states at the Fermi level is 0.4933 states/eV/atom. For the energy above the lowest structure with this stoichiometry, the calculation gives 0.0 meV/atom.

It has space group Pmn2_1 (No. 31), with a = 8.069 Å, b = 7.020 Å, c = 6.456 Å, α = 90.00°, β = 90.00° and γ = 90.00°. The asymmetric unit holds Li at (0.000, 0.149, 0.000), Li at (0.246, 0.329, 0.497), Te at (0.000, 0.820, 0.497), S at (0.000, 0.148, 0.617), S at (0.000, 0.821, 0.120) and S at (0.242, 0.336, 0.115).

(16)
Material: Li3TeS4
Method: DFT, PBE
State: optimized geometry

Its raw total energy is -3.80 eV/atom. The calculation puts the raw formation energy at -0.63 eV per atom. Its density of states at the Fermi level is 0.3747 states/eV/atom. For the energy above the lowest structure with this stoichiometry, the calculation gives 4.6 meV/atom.

It has space group Amm2 (No. 38), with a = 3.815 Å, b = 8.048 Å, c = 10.813 Å, α = 90.00°, β = 90.00° and γ = 90.00°. The asymmetric unit holds Li at (0.000, 0.000, 0.000), Li at (0.500, 0.199, 0.329), Te at (0.000, 0.000, 0.666), S at (0.000, 0.143, 0.194), S at (0.500, 0.000, 0.504) and S at (0.500, 0.000, 0.853).

(17)
Material: Li2TeS3
Method: DFT, PBE
State: optimized geometry

Its raw total energy is -3.90 eV/atom. The calculation puts the raw formation energy at -0.68 eV per atom. Its density of states at the Fermi level is 0.0000 states/eV/atom. For the energy above the lowest structure with this stoichiometry, the calculation gives 0.0 meV/atom.

It has space group P2_1/c (No. 14), with a = 5.385 Å, b = 11.612 Å, c = 7.909 Å, α = 90.00°, β = 91.70° and γ = 90.00°. The asymmetric unit holds Li at (0.239, 0.088, 0.371), Li at (0.259, 0.727, 0.353), Te at (0.280, 0.087, 0.820), S at (0.233, 0.245, 0.624), S at (0.255, 0.572, 0.129) and S at (0.275, 0.597, 0.631).

(18)
Material: LiTeS4
Method: DFT, PBE
State: optimized geometry

Its raw total energy is -3.78 eV/atom. The calculation puts the raw formation energy at -0.18 eV per atom. Its density of states at the Fermi level is 0.2084 states/eV/atom.

It has space group C2/c (No. 15), with a = 6.949 Å, b = 14.043 Å, c = 6.588 Å, α = 90.00°, β = 106.73° and γ = 90.00°. The asymmetric unit holds Li at (0.000, 0.082, 0.250), Te at (0.000, 0.436, 0.250), S at (0.100, 0.246, 0.464) and S at (0.246, 0.461, 0.004).

(19)
Material: Li2Te2S5
Method: DFT, PBE
State: optimized geometry

Its raw total energy is -3.79 eV/atom. The calculation puts the raw formation energy at -0.38 eV per atom.

It has space group Ima2 (No. 46), with a = 16.632 Å, b = 6.694 Å, c = 8.002 Å, α = 90.00°, β = 90.00° and γ = 90.00°. The asymmetric unit holds Li at (0.127, 0.068, 0.000), Te at (0.000, 0.000, 0.526), Te at (0.250, 0.539, 0.068), S at (0.064, 0.220, 0.713), S at (0.141, 0.708, 0.924) and S at (0.250, 0.239, 0.917).

(20)
Material: LiTe2S
Method: DFT, PBE
State: optimized geometry

Its raw total energy is -3.10 eV/atom. The calculation puts the raw formation energy at -0.02 eV per atom. Its density of states at the Fermi level is 0.7825 states/eV/atom.

It has space group R-3m (No. 166, hexagonal axes), with a = 4.4246 Å, b = 4.4246 Å, c = 22.1694 Å, α = 90.00°, β = 90.00° and γ = 120.00°. The asymmetric unit holds Li at (0.0000, 0.0000, 0.0000), Te at (0.0000, 0.0000, 0.3891) and S at (0.0000, 0.0000, 0.5000).

(21)
Material: Li10Te4S
Method: DFT, PBE
State: optimized geometry

Its raw total energy is -3.46 eV/atom. The calculation puts the raw formation energy at -1.07 eV per atom. Its density of states at the Fermi level is 0.0000 states/eV/atom.

It has space group R-3m (No. 166, hexagonal axes), with a = 4.5143 Å, b = 4.5143 Å, c = 55.0951 Å, α = 90.00°, β = 90.00° and γ = 120.00°. The asymmetric unit holds Li at (0.0000, 0.0000, 0.0444), Li at (0.0000, 0.0000, 0.1498), Li at (0.0000, 0.0000, 0.2526), Li at (0.0000, 0.0000, 0.3458), Li at (0.0000, 0.0000, 0.4478), Te at (0.0000, 0.0000, 0.2012), Te at (0.0000, 0.0000, 0.3965) and S at (0.0000, 0.0000, 0.0000).